(1)
{
  "formula": "CsCu2SbTe4",
  "functional": "GGA-PBE",
  "state": "relaxed",
  "lattice_angstrom": [[6.9997, 0.0000, 0.0000], [3.4999, 6.7880, -0.1373], [3.4999, 0.4195, 6.7764]],
  "species": ["Cs", "Cu", "Cu", "Sb", "Te", "Te", "Te", "Te"],
  "fractional_positions": [[0.0000, 0.0000, 0.0000], [0.1337, 0.3663, 0.3663], [0.8663, 0.6337, 0.6337], [0.5000, 0.5000, 0.5000], [0.4292, 0.1680, 0.5066], [0.1038, 0.8320, 0.4934], [0.8962, 0.5066, 0.1680], [0.5708, 0.4934, 0.8320]],
  "spacegroup": "I222, No. 23",
  "dos_ef_per_ev_cell": 0.0,
  "formation_energy_uncorrected_ev_per_atom": -0.181,
  "m_tot_mub_per_cell": 0.0,
  "crystal_system": "orthorhombic"
}

(2)
{
  "formula": "NaGa3Ir",
  "functional": "GGA-PBE",
  "state": "relaxed",
  "lattice_angstrom": [[5.3293, 0.0000, 0.0000], [0.0000, 9.1012, -1.6088], [0.0000, -0.6091, 7.8224]],
  "species": ["Na", "Na", "Na", "Na", "Ga", "Ga", "Ga", "Ga", "Ga", "Ga", "Ga", "Ga", "Ga", "Ga", "Ga", "Ga", "Ir", "Ir", "Ir", "Ir"],
  "fractional_positions": [[0.0660, 0.7656, 0.3445], [0.9340, 0.2344, 0.6555], [0.5660, 0.7344, 0.6555], [0.4340, 0.2656, 0.3445], [0.8409, 0.6013, 0.9460], [0.1591, 0.3987, 0.0540], [0.3409, 0.8987, 0.0540], [0.6591, 0.1013, 0.9460], [0.5243, 0.6155, 0.2641], [0.4757, 0.3845, 0.7359], [0.0243, 0.8845, 0.7359], [0.9757, 0.1155, 0.2641], [0.9037, 0.4185, 0.3586], [0.0963, 0.5815, 0.6414], [0.4037, 0.0815, 0.6414], [0.5963, 0.9185, 0.3586], [0.6697, 0.3811, 0.0444], [0.3303, 0.6189, 0.9556], [0.1697, 0.1189, 0.9556], [0.8303, 0.8811, 0.0444]],
  "polymorph_energy_mev_per_atom": 134,
  "spacegroup": "P2_1/c, No. 14",
  "dos_ef_per_ev_cell": 2.9,
  "m_tot_mub_per_cell": 0.0,
  "ef_ev_per_atom": -0.177,
  "crystal_system": "monoclinic"
}

(3)
{
  "formula": "CoWCl",
  "functional": "GGA-PBE",
  "state": "relaxed",
  "lattice_angstrom": [[6.4640, 0.0786, 0.0000], [5.1535, 3.9028, 0.0000], [-5.8088, -1.9907, 2.0213]],
  "species": ["Co", "W", "Cl"],
  "fractional_positions": [[0.2951, 0.2951, 0.0000], [0.6738, 0.6738, 0.0000], [0.0311, 0.0311, 0.0000]],
  "polymorph_energy_mev_per_atom": 68,
  "spacegroup": "I4mm, No. 107",
  "dos_ef_per_ev_cell": 2.1,
  "formation_energy_uncorrected_ev_per_atom": 0.438,
  "m_tot_mub_per_cell": 0.6,
  "crystal_system": "tetragonal"
}

(4)
{
  "formula": "CsSn3Pt",
  "functional": "GGA-PBE",
  "state": "relaxed",
  "lattice_angstrom": [[-3.7381, 2.2218, -3.3095], [-3.4935, -4.0110, 1.2532], [-1.9196, 2.9730, 4.1641]],
  "species": ["Cs", "Sn", "Sn", "Sn", "Pt"],
  "fractional_positions": [[0.5000, 0.5000, 0.5000], [0.0000, 0.5000, 0.0000], [0.0000, 0.0000, 0.5000], [0.5000, 0.0000, 0.0000], [0.0000, 0.0000, 0.0000]],
  "polymorph_energy_mev_per_atom": 362,
  "spacegroup": "Pm-3m, No. 221",
  "dos_ef_per_ev_cell": 5.6,
  "m_tot_mub_per_cell": 0.0,
  "ef_ev_per_atom": 0.059,
  "crystal_system": "cubic"
}